Entry 1:
Computed, not measured: GeH3Pd after structural relaxation at the PBE level of DFT.

```
GeH3Pd
1.0
3.6438 0.0000 0.0000
0.0000 3.6438 0.0000
0.0000 0.0000 3.6438
Ge H Pd
1 3 1
Direct
0.0000 0.0000 0.0000
0.0000 0.0000 0.5000
0.0000 0.5000 0.0000
0.5000 0.0000 0.0000
0.5000 0.5000 0.5000
```

Space-group type: Pm-3m (221)
Uncorrected energy in eV/atom: -3.327
V in Å³ per atom: 9.68
ΔE to the lowest computed polymorph in eV/atom: 0.364
M_tot in μB/f.u.: 0.0

=====

Entry 2:
Computed, not measured: NdScCl after structural relaxation at the PBE level of DFT.

```
NdScCl
1.0
15.1258 0.0000 0.0000
0.0000 3.5833 0.0000
-2.6196 0.0000 5.7687
Nd Sc Cl
4 4 4
Direct
0.0963 0.0000 0.2646
0.4037 0.5000 0.7354
0.5963 0.5000 0.2646
0.9037 0.0000 0.7354
0.0919 0.5000 0.7411
0.4081 0.0000 0.2589
0.5919 0.0000 0.7411
0.9081 0.5000 0.2589
0.2403 0.0000 0.7584
0.2597 0.5000 0.2416
0.7403 0.5000 0.7584
0.7597 0.0000 0.2416
```

Space-group type: C2/m (12)
Uncorrected energy in eV/atom: -5.170
Formation energy (no corrections) in kJ/mol of formula units: -247
V in Å³ per atom: 26.06
M_tot in μB/f.u.: 0.1

=====

Entry 3:
Computed, not measured: AgB2Sb after structural relaxation at the PBE level of DFT.

```
AgB2Sb
1.0
5.3054 0.0000 0.0000
0.0000 5.3054 0.0000
0.0000 0.0000 9.9017
Ag B Sb
4 8 4
Direct
0.0000 0.0000 0.0000
0.0000 0.5000 0.2500
0.5000 0.0000 0.7500
0.5000 0.5000 0.5000
0.2439 0.2500 0.1250
0.2500 0.7439 0.3750
0.2500 0.7561 0.8750
0.2561 0.2500 0.6250
0.7439 0.7500 0.6250
0.7500 0.2439 0.8750
0.7500 0.2561 0.3750
0.7561 0.7500 0.1250
0.0000 0.0000 0.5000
0.0000 0.5000 0.7500
0.5000 0.0000 0.2500
0.5000 0.5000 0.0000
```

Space-group type: I-42d (122)
Uncorrected energy in eV/atom: -4.021
Formation energy (no corrections) in kJ/mol of formula units: 409
V in Å³ per atom: 17.42
M_tot in μB/f.u.: 0.0

=====

Entry 4:
Computed, not measured: Pu2ZrSc12 after structural relaxation at the PBE level of DFT.

```
Pu2ZrSc12
1.0
5.8378 0.0000 0.0000
0.0000 5.8378 0.0000
0.0000 0.0000 23.1425
Pu Zr Sc
4 2 24
Direct
0.2500 0.7500 0.2266
0.2500 0.7500 0.7734
0.7500 0.2500 0.2266
0.7500 0.2500 0.7734
0.2500 0.7500 0.5000
0.7500 0.2500 0.5000
0.0622 0.5622 0.3933
0.0622 0.9378 0.6067
0.0799 0.5799 0.0608
0.0799 0.9201 0.9392
0.2500 0.2500 0.1610
0.2500 0.2500 0.2918
0.2500 0.2500 0.7082
0.2500 0.2500 0.8390
0.4201 0.5799 0.9392
0.4201 0.9201 0.0608
0.4378 0.5622 0.6067
0.4378 0.9378 0.3933
0.5622 0.0622 0.6067
0.5622 0.4378 0.3933
0.5799 0.0799 0.9392
0.5799 0.4201 0.0608
0.7500 0.7500 0.1610
0.7500 0.7500 0.2918
0.7500 0.7500 0.7082
0.7500 0.7500 0.8390
0.9201 0.0799 0.0608
0.9201 0.4201 0.9392
0.9378 0.0622 0.3933
0.9378 0.4378 0.6067
```

Space-group type: P4/nbm (125)
Uncorrected energy in eV/atom: -7.142
V in Å³ per atom: 26.29
M_tot in μB/f.u.: 15.0

=====

Entry 5:
Computed, not measured: Pr4BiSe2N after structural relaxation at the PBE level of DFT.

```
Pr4BiSe2N
1.0
2.1223 -7.1718 0.0000
2.1223 7.1718 0.0000
0.0000 0.0000 14.9982
Pr Bi Se N
8 2 4 2
Direct
0.0000 0.0000 0.0000
0.0000 0.0000 0.5000
0.2667 0.7333 0.6295
0.2667 0.7333 0.8705
0.4176 0.5824 0.2500
0.5824 0.4176 0.7500
0.7333 0.2667 0.1295
0.7333 0.2667 0.3705
0.0994 0.9006 0.2500
0.9006 0.0994 0.7500
0.3639 0.6361 0.0554
0.3639 0.6361 0.4446
0.6361 0.3639 0.5554
0.6361 0.3639 0.9446
0.1680 0.8320 0.7500
0.8320 0.1680 0.2500
```

Space-group type: Cmcm (63)
Uncorrected energy in eV/atom: -6.216
Formation energy (no corrections) in kJ/mol of formula units: -1103
V in Å³ per atom: 28.53
M_tot in μB/f.u.: 0.0

=====

Entry 6:
Computed, not measured: Ta5MoW6 after structural relaxation at the PBE level of DFT.

```
Ta5MoW6
1.0
-2.2799 3.2293 6.8581
2.2799 -3.2293 6.8581
2.2799 3.2293 -6.8581
Ta Mo W
5 1 6
Direct
0.0000 0.0000 0.0000
0.1663 0.6663 0.5000
0.3330 0.3330 0.0000
0.6670 0.6670 0.0000
0.8337 0.3337 0.5000
0.5000 0.0000 0.5000
0.0865 0.8347 0.2518
0.2534 0.5000 0.7534
0.4171 0.1653 0.2518
0.5829 0.8347 0.7482
0.7466 0.5000 0.2466
0.9135 0.1653 0.7482
```

Space-group type: Immm (71)
Uncorrected energy in eV/atom: -12.425
V in Å³ per atom: 16.83
M_tot in μB/f.u.: 0.0

=====

Entry 7:
Computed, not measured: La2TbPmEr4 after structural relaxation at the PBE level of DFT.

```
La2TbPmEr4
1.0
6.2448 -3.5954 0.0000
6.2448 3.5954 0.0000
-4.2247 0.0000 11.5742
La Tb Pm Er
4 2 2 8
Direct
0.0000 0.0000 0.0000
0.0000 0.0000 0.5000
0.0000 0.5000 0.0000
0.5000 0.0000 0.0000
0.0000 0.5000 0.5000
0.5000 0.0000 0.5000
0.5000 0.5000 0.0000
0.5000 0.5000 0.5000
0.2501 0.2501 0.7476
0.2496 0.7483 0.7476
0.2507 0.2507 0.2530
0.2517 0.7504 0.2524
0.7483 0.2496 0.7476
0.7493 0.7493 0.7470
0.7504 0.2517 0.2524
0.7499 0.7499 0.2524
```

Space-group type: C2/m (12)
Uncorrected energy in eV/atom: -4.666
V in Å³ per atom: 32.48
M_tot in μB/f.u.: 0.0

=====

Entry 8:
Computed, not measured: CsBaNa3 after structural relaxation at the PBE level of DFT.

```
CsBaNa3
1.0
7.3618 0.0000 0.0000
0.0000 7.3618 0.0000
0.0000 0.0000 7.3618
Cs Ba Na
1 1 3
Direct
0.0000 0.0000 0.0000
0.5000 0.5000 0.5000
0.0000 0.5000 0.5000
0.5000 0.0000 0.5000
0.5000 0.5000 0.0000
```

Space-group type: Pm-3m (221)
Uncorrected energy in eV/atom: -1.000
V in Å³ per atom: 79.80
ΔE to the lowest computed polymorph in eV/atom: 0.000
M_tot in μB/f.u.: 0.0